A relaxed structure of Ta3InNi, computed with PBE.

Computed properties:
* polymorph energy (0 for the lowest one): 0.0 kJ/mol of atoms
* SG: Pm-3m
* size of the total moment: 0.000 μB/f.u.
* uncorrected energy: -8.124 eV per atom

```
Ta3InNi
1.0
4.639 0.000 0.000
0.000 4.639 0.000
0.000 0.000 4.639
In Ta Ni
1 3 1
Cartesian
2.319 2.319 2.319
0.000 0.000 2.319
0.000 2.319 0.000
2.319 0.000 0.000
0.000 0.000 0.000
```